This record from the Alexandria database describes a relaxed structure of Tl3Rh2. The functional is PBE-GGA.

abc: 3.3369 3.3369 33.3504
angles: 90.00 90.00 120.00
Space group R-3m (No. 166, hexagonal axes)
Unique sites:
Tl (0.0000, 0.0000, 0.0000) [3 per cell]
Tl (0.0000, 0.0000, 0.2110) [6 per cell]
Rh (0.0000, 0.0000, 0.3939) [6 per cell]

Properties
- DOS(E_F) (states/eV per cell) = 10.7
- distance to the lowest polymorph of the same formula (kJ per mole of atoms) = 9.7
- raw total energy (eV/atom) = -4.167
- energy of formation (meV per atom) = 193
- volume (Å³/cell) = 321.6

This record from the Alexandria database describes a relaxed structure of TlRh. The functional is PBE-GGA.

abc: 4.3056 4.3056 7.0729
angles: 90.00 90.00 120.00
Space group P6_3mc (No. 186)
Unique sites:
Tl (0.3333, 0.6667, 0.0000) [2 per cell]
Rh (0.3333, 0.6667, 0.6271) [2 per cell]

Properties
- DOS(E_F) (states/eV per cell) = 3.2
- raw total energy (eV/atom) = -4.026
- energy of formation (meV per atom) = 833
- volume (Å³/cell) = 113.6

This record from the Alexandria database describes a relaxed structure of Tl2Rh. The functional is PBE-GGA.

abc: 5.0189 5.0189 3.0602
angles: 90.00 90.00 120.00
Space group P6/mmm (No. 191)
Unique sites:
Tl (0.3333, 0.6667, 0.0000) [2 per cell]
Rh (0.0000, 0.0000, 0.5000) [1 per cell]

Properties
- DOS(E_F) (states/eV per cell) = 2.5
- raw total energy (eV/atom) = -3.537
- energy of formation (meV per atom) = 491
- volume (Å³/cell) = 66.8

This record from the Alexandria database describes a relaxed structure of TlRh. The functional is PBE-GGA.

abc: 3.2013 3.2013 13.5927
angles: 90.00 90.00 120.00
Space group P3m1 (No. 156)
Unique sites:
Tl (0.0000, 0.0000, 0.0000) [1 per cell]
Tl (0.0000, 0.0000, 0.3145) [1 per cell]
Tl (0.3333, 0.6667, 0.7764) [1 per cell]
Rh (0.0000, 0.0000, 0.6118) [1 per cell]
Rh (0.3333, 0.6667, 0.1590) [1 per cell]
Rh (0.3333, 0.6667, 0.4735) [1 per cell]

Properties
- DOS(E_F) (states/eV per cell) = 5.8
- raw total energy (eV/atom) = -4.527
- energy of formation (meV per atom) = 332
- volume (Å³/cell) = 120.6

This record from the Alexandria database describes a relaxed structure of TlRh5. The functional is PBE-GGA.

abc: 2.8681 2.8681 13.2157
angles: 90.00 90.00 120.00
Space group P-6m2 (No. 187)
Unique sites:
Tl (0.0000, 0.0000, 0.0000) [1 per cell]
Rh (0.0000, 0.0000, 0.3410) [2 per cell]
Rh (0.3333, 0.6667, 0.1800) [2 per cell]
Rh (0.3333, 0.6667, 0.5000) [1 per cell]

Properties
- DOS(E_F) (states/eV per cell) = 11.2
- raw total energy (eV/atom) = -6.229
- energy of formation (meV per atom) = 291
- volume (Å³/cell) = 94.1

This record from the Alexandria database describes a relaxed structure of TlRh. The functional is PBE-GGA.

abc: 6.1038 6.1038 6.1038
angles: 90.00 90.00 90.00
Space group F-43m (No. 216)
Unique sites:
Tl (0.0000, 0.0000, 0.0000) [4 per cell]
Rh (0.2500, 0.2500, 0.2500) [4 per cell]

Properties
- DOS(E_F) (states/eV per cell) = 6.3
- raw total energy (eV/atom) = -4.022
- energy of formation (meV per atom) = 837
- volume (Å³/cell) = 227.4

This record from the Alexandria database describes a relaxed structure of TlRh. The functional is PBE-GGA.

abc: 4.5332 3.1815 15.8065
angles: 90.00 90.00 90.00
Space group Amm2 (No. 38)
Unique sites:
Tl (0.0000, 0.0000, 0.0000) [2 per cell]
Tl (0.0000, 0.0000, 0.3159) [2 per cell]
Tl (0.5000, 0.0000, 0.1701) [2 per cell]
Rh (0.0000, 0.0000, 0.6590) [2 per cell]
Rh (0.5000, 0.0000, 0.5132) [2 per cell]
Rh (0.5000, 0.0000, 0.8656) [2 per cell]

Properties
- DOS(E_F) (states/eV per cell) = 10.5
- raw total energy (eV/atom) = -4.668
- energy of formation (meV per atom) = 190
- volume (Å³/cell) = 228.0

This record from the Alexandria database describes a relaxed structure of Tl3Rh2. The functional is PBE-GGA.

abc: 8.1300 3.2572 9.0282
angles: 90.00 112.38 90.00
Space group C2/m (No. 12)
Unique sites:
Tl (0.0000, 0.0000, 0.0000) [2 per cell]
Tl (0.0738, 0.5000, 0.3580) [4 per cell]
Rh (0.2155, 0.0000, 0.8268) [4 per cell]

Properties
- DOS(E_F) (states/eV per cell) = 4.3
- distance to the lowest polymorph of the same formula (kJ per mole of atoms) = 13.0
- raw total energy (eV/atom) = -4.133
- energy of formation (meV per atom) = 228
- volume (Å³/cell) = 221.1